VASP calculation (PBE) on BaCaI after structural relaxation.

Computed properties:
Energy relative to the lowest polymorph listed for this composition   74 meV/atom
Magnetization   0.460 μB per formula unit
Energy relative to the elements, uncorrected   -2.27 eV/f.u.

```
data_BaCaI
_cell_length_a 17.930
_cell_length_b 4.352
_cell_length_c 7.312
_cell_angle_alpha 90.00
_cell_angle_beta 109.57
_cell_angle_gamma 90.00
_symmetry_space_group_name_H-M 'C 1 2/m 1'
_symmetry_Int_Tables_number 12
loop_
_symmetry_equiv_pos_as_xyz
'x,y,z'
'-x,-y,-z'
'-x,y,-z'
'x,-y,z'
'x+1/2,y+1/2,z'
'-x+1/2,-y+1/2,-z'
'-x+1/2,y+1/2,-z'
'x+1/2,-y+1/2,z'
loop_
_atom_site_label
_atom_site_type_symbol
_atom_site_fract_x
_atom_site_fract_y
_atom_site_fract_z
_atom_site_occupancy
Ba1 Ba 0.086 0.000 0.281 1
Ca1 Ca 0.116 0.500 0.805 1
I1 I 0.248 0.500 0.248 1
```